1.
SnSb2TeRu | PBEsol | relaxed

The structure in CIF format:
```
data_SnSb2TeRu
_chemical_formula_sum 'Sn1 Sb2 Te1 Ru1'
_symmetry_space_group_name_H-M 'P 4/m m m'
_symmetry_Int_Tables_number 123
_symmetry_space_group_name_Hall '-P 4 2'
_cell_length_a 4.948
_cell_length_b 4.948
_cell_length_c 5.620
_cell_angle_alpha 90.00
_cell_angle_beta 90.00
_cell_angle_gamma 90.00
loop_
_atom_site_label
_atom_site_fract_x
_atom_site_fract_y
_atom_site_fract_z
Sn1 0.000 0.000 0.000
Sb1 0.000 0.500 0.500
Te1 0.500 0.500 0.000
Ru1 0.500 0.500 0.500
```

Formation energy from raw total energies: 0.3786 eV/atom
ρ: 7132 kg/m³
D(E_F): 4.6 states/eV/f.u.

***

2.
TcNi2Os | PBEsol | relaxed

The structure in CIF format:
```
data_TcNi2Os
_chemical_formula_sum 'Tc2 Ni4 Os2'
_symmetry_space_group_name_H-M 'A m m 2'
_symmetry_Int_Tables_number 38
_symmetry_space_group_name_Hall 'A 2 -2'
_cell_length_a 3.992
_cell_length_b 2.556
_cell_length_c 9.509
_cell_angle_alpha 90.00
_cell_angle_beta 90.00
_cell_angle_gamma 90.00
loop_
_atom_site_label
_atom_site_fract_x
_atom_site_fract_y
_atom_site_fract_z
Tc1 0.000 0.000 0.000
Ni1 0.000 0.000 0.260
Ni2 0.500 0.000 0.387
Os1 0.500 0.000 0.648
```

Relative energy among the computed polymorphs: 44.0 meV/atom
ρ: 13881 kg/m³
D(E_F): 4.0 states/eV/f.u.

***

3.
SiHgOs2 | PBEsol | relaxed

The structure in CIF format:
```
data_SiHgOs2
_chemical_formula_sum 'Si3 Hg3 Os6'
_symmetry_space_group_name_H-M 'R -3 m'
_symmetry_Int_Tables_number 166
_symmetry_space_group_name_Hall '-R 3 2"'
_cell_length_a 2.8078
_cell_length_b 2.8078
_cell_length_c 26.4360
_cell_angle_alpha 90.00
_cell_angle_beta 90.00
_cell_angle_gamma 120.00
loop_
_atom_site_label
_atom_site_fract_x
_atom_site_fract_y
_atom_site_fract_z
Si1 0.0000 0.0000 0.0000
Hg1 0.0000 0.0000 0.5000
Os1 0.0000 0.0000 0.2635
```

Relative energy among the computed polymorphs: 0.0 meV/atom
Formation energy from raw total energies: 0.2011 eV/atom
ρ: 16813 kg/m³
D(E_F): 2.9 states/eV/f.u.

***

4.
BeTlCr2 | PBEsol | relaxed

The structure in CIF format:
```
data_BeTlCr2
_chemical_formula_sum 'Be2 Tl2 Cr4'
_symmetry_space_group_name_H-M 'I -4 m 2'
_symmetry_Int_Tables_number 119
_symmetry_space_group_name_Hall 'I -4 -2'
_cell_length_a 3.903
_cell_length_b 3.903
_cell_length_c 7.280
_cell_angle_alpha 90.00
_cell_angle_beta 90.00
_cell_angle_gamma 90.00
loop_
_atom_site_label
_atom_site_fract_x
_atom_site_fract_y
_atom_site_fract_z
Be1 0.000 0.000 0.000
Tl1 0.000 0.500 0.750
Cr1 0.000 0.000 0.500
Cr2 0.000 0.500 0.250
```

Relative energy among the computed polymorphs: 40.6 meV/atom
ρ: 9505 kg/m³
D(E_F): 2.2 states/eV/f.u.

***

5.
AlTlCu2 | PBEsol | relaxed

The structure in CIF format:
```
data_AlTlCu2
_chemical_formula_sum 'Al1 Tl1 Cu2'
_symmetry_space_group_name_H-M 'P m m m'
_symmetry_Int_Tables_number 47
_symmetry_space_group_name_Hall '-P 2 2'
_cell_length_a 3.053
_cell_length_b 3.079
_cell_length_c 6.762
_cell_angle_alpha 90.00
_cell_angle_beta 90.00
_cell_angle_gamma 90.00
loop_
_atom_site_label
_atom_site_fract_x
_atom_site_fract_y
_atom_site_fract_z
Al1 0.000 0.000 0.000
Tl1 0.000 0.000 0.500
Cu1 0.500 0.500 0.195
```

Energy: -3.728 eV/atom
ρ: 9362 kg/m³
D(E_F): 1.4 states/eV/f.u.

***

6.
KNi | PBEsol | relaxed

The structure in CIF format:
```
data_KNi
_chemical_formula_sum 'K1 Ni1'
_symmetry_space_group_name_H-M 'P -6 m 2'
_symmetry_Int_Tables_number 187
_symmetry_space_group_name_Hall 'P -6 2'
_cell_length_a 2.9099
_cell_length_b 2.9099
_cell_length_c 5.1243
_cell_angle_alpha 90.00
_cell_angle_beta 90.00
_cell_angle_gamma 120.00
loop_
_atom_site_label
_atom_site_fract_x
_atom_site_fract_y
_atom_site_fract_z
K1 0.0000 0.0000 0.0000
Ni1 0.3333 0.6667 0.5000
```

Energy: -2.554 eV/atom
ρ: 4321 kg/m³
D(E_F): 1.4 states/eV/f.u.

***

7.
TlRu2Pt | PBEsol | relaxed

The structure in CIF format:
```
data_TlRu2Pt
_chemical_formula_sum 'Tl2 Ru4 Pt2'
_symmetry_space_group_name_H-M 'C 1 2/m 1'
_symmetry_Int_Tables_number 12
_symmetry_space_group_name_Hall '-C 2y'
_cell_length_a 5.445
_cell_length_b 9.539
_cell_length_c 2.800
_cell_angle_alpha 90.00
_cell_angle_beta 119.03
_cell_angle_gamma 90.00
loop_
_atom_site_label
_atom_site_fract_x
_atom_site_fract_y
_atom_site_fract_z
Tl1 0.000 0.000 0.000
Ru1 0.250 0.250 0.500
Pt1 0.000 0.500 0.000
```

Energy: -6.862 eV/atom
ρ: 15715 kg/m³
D(E_F): 5.6 states/eV/f.u.

***

8.
LiCd2Pb | PBEsol | relaxed

The structure in CIF format:
```
data_LiCd2Pb
_chemical_formula_sum 'Li1 Cd2 Pb1'
_symmetry_space_group_name_H-M 'P 1 2/m 1'
_symmetry_Int_Tables_number 10
_symmetry_space_group_name_Hall '-P 2y'
_cell_length_a 3.096
_cell_length_b 5.584
_cell_length_c 5.160
_cell_angle_alpha 90.00
_cell_angle_beta 92.65
_cell_angle_gamma 90.00
loop_
_atom_site_label
_atom_site_fract_x
_atom_site_fract_y
_atom_site_fract_z
Li1 0.000 0.000 0.000
Cd1 0.264 0.500 0.241
Pb1 0.500 0.000 0.500
```

Energy: -2.182 eV/atom
ρ: 8179 kg/m³
D(E_F): 1.3 states/eV/f.u.

***

9.
Bi2O3 | PBEsol | relaxed

The structure in CIF format:
```
data_Bi2O3
_chemical_formula_sum 'Bi8 O12'
_symmetry_space_group_name_H-M 'P c c n'
_symmetry_Int_Tables_number 56
_symmetry_space_group_name_Hall '-P 2ab 2ac'
_cell_length_a 4.911
_cell_length_b 12.598
_cell_length_c 5.581
_cell_angle_alpha 90.00
_cell_angle_beta 90.00
_cell_angle_gamma 90.00
loop_
_atom_site_label
_atom_site_fract_x
_atom_site_fract_y
_atom_site_fract_z
Bi1 0.033 0.126 0.182
O1 0.100 0.060 0.818
O2 0.250 0.250 0.475
```

Formation energy from raw total energies: -1.2064 eV/atom
ρ: 8962 kg/m³
D(E_F): 0.0 states/eV/f.u.

***

10.
Y2ReSb | PBEsol | relaxed

The structure in CIF format:
```
data_Y2ReSb
_chemical_formula_sum 'Y2 Re1 Sb1'
_symmetry_space_group_name_H-M 'P 4 m m'
_symmetry_Int_Tables_number 99
_symmetry_space_group_name_Hall 'P 4 -2'
_cell_length_a 3.393
_cell_length_b 3.393
_cell_length_c 8.208
_cell_angle_alpha 90.00
_cell_angle_beta 90.00
_cell_angle_gamma 90.00
loop_
_atom_site_label
_atom_site_fract_x
_atom_site_fract_y
_atom_site_fract_z
Y1 0.000 0.000 0.000
Y2 0.500 0.500 0.360
Re1 0.000 0.000 0.583
Sb1 0.500 0.500 0.745
```

Formation energy from raw total energies: -0.0555 eV/atom
ρ: 8535 kg/m³
D(E_F): 3.3 states/eV/f.u.

***

11.
BaLa2Cr | PBEsol | relaxed

The structure in CIF format:
```
data_BaLa2Cr
_chemical_formula_sum 'Ba1 La2 Cr1'
_symmetry_space_group_name_H-M 'P 4/m m m'
_symmetry_Int_Tables_number 123
_symmetry_space_group_name_Hall '-P 4 2'
_cell_length_a 4.970
_cell_length_b 4.970
_cell_length_c 5.203
_cell_angle_alpha 90.00
_cell_angle_beta 90.00
_cell_angle_gamma 90.00
loop_
_atom_site_label
_atom_site_fract_x
_atom_site_fract_y
_atom_site_fract_z
Ba1 0.000 0.000 0.000
La1 0.000 0.500 0.500
Cr1 0.500 0.500 0.000
```

Energy: -5.163 eV/atom
ρ: 6036 kg/m³
D(E_F): 5.6 states/eV/f.u.

***

12.
CaTa3Pb | PBEsol | relaxed

The structure in CIF format:
```
data_CaTa3Pb
_chemical_formula_sum 'Ca1 Ta3 Pb1'
_symmetry_space_group_name_H-M 'P m -3 m'
_symmetry_Int_Tables_number 221
_symmetry_space_group_name_Hall '-P 4 2 3'
_cell_length_a 5.158
_cell_length_b 5.158
_cell_length_c 5.158
_cell_angle_alpha 90.00
_cell_angle_beta 90.00
_cell_angle_gamma 90.00
loop_
_atom_site_label
_atom_site_fract_x
_atom_site_fract_y
_atom_site_fract_z
Ca1 0.000 0.000 0.000
Ta1 0.000 0.500 0.500
Pb1 0.500 0.500 0.500
```

Energy: -6.721 eV/atom
ρ: 9561 kg/m³
D(E_F): 7.1 states/eV/f.u.